Arrangement w

VASP calculation (PBE-GGA) on TaB4Ir after structural relaxation.

## Properties
space-group type	Immm (71)

Structure (POSCAR):
```
TaB4Ir
1.0
-1.519 2.546 3.622
1.519 -2.546 3.622
1.519 2.546 -3.622
B Ta Ir
4 1 1
Direct
0.915 0.236 0.679 B
0.085 0.764 0.321 B
0.557 0.236 0.321 B
0.443 0.764 0.679 B
0.500 0.500 0.000 Ta
0.000 0.000 0.000 Ir
```

---

Arrangement x

VASP calculation (PBE-GGA) on TaB4Ir after structural relaxation.

## Properties
space-group type	P6/mmm (191)

Structure (POSCAR):
```
TaB4Ir
1.0
3.116 0.000 0.000
-1.558 2.698 0.000
0.000 0.000 6.536
B Ir Ta
4 1 1
Direct
0.333 0.667 0.249 B
0.333 0.667 0.751 B
0.667 0.333 0.249 B
0.667 0.333 0.751 B
0.000 0.000 0.000 Ir
0.000 0.000 0.500 Ta
```

---

In terms of stability, arrangement x leads; the second structure lies 0.025 eV/atom higher.

---

Arrangement w

VASP calculation (PBE-GGA) on TbB4Ir after structural relaxation.

## Properties
space-group type	P6/mmm (191)

Structure (POSCAR):
```
TbB4Ir
1.0
3.259 0.000 0.000
-1.630 2.823 0.000
0.000 0.000 6.726
B Ir Tb
4 1 1
Direct
0.667 0.333 0.784 B
0.333 0.667 0.216 B
0.667 0.333 0.216 B
0.333 0.667 0.784 B
0.000 0.000 0.000 Ir
0.000 0.000 0.500 Tb
```

---

Arrangement x

VASP calculation (PBE-GGA) on TbB4Ir after structural relaxation.

## Properties
space-group type	Immm (71)

Structure (POSCAR):
```
TbB4Ir
1.0
-1.590 2.648 3.721
1.590 -2.648 3.721
1.590 2.648 -3.721
Tb B Ir
1 4 1
Direct
0.500 0.500 0.000 Tb
0.426 0.756 0.670 B
0.915 0.244 0.670 B
0.574 0.244 0.330 B
0.085 0.756 0.330 B
0.000 0.000 0.000 Ir
```

---

In terms of stability, arrangement w leads; the second structure lies 0.052 eV/atom higher.

---

Arrangement w

VASP calculation (PBE-GGA) on TlB4Ir after structural relaxation.

## Properties
space-group type	P6/mmm (191)

Structure (POSCAR):
```
TlB4Ir
1.0
-1.860 2.368 -0.588
-0.003 -1.300 2.779
6.271 5.576 2.615
B Tl Ir
4 1 1
Direct
0.667 0.333 0.184 B
0.333 0.667 0.184 B
0.667 0.333 0.816 B
0.333 0.667 0.816 B
0.000 0.000 0.500 Tl
0.000 0.000 0.000 Ir
```

---

Arrangement x

VASP calculation (PBE-GGA) on TlB4Ir after structural relaxation.

## Properties
space-group type	Immm (71)

Structure (POSCAR):
```
TlB4Ir
1.0
-1.379 2.836 4.220
1.379 -2.836 4.220
1.379 2.836 -4.220
B Tl Ir
4 1 1
Direct
0.630 0.281 0.349 B
0.931 0.281 0.651 B
0.370 0.719 0.651 B
0.069 0.719 0.349 B
0.500 0.500 0.000 Tl
0.000 0.000 0.000 Ir
```

---

In terms of stability, arrangement w leads; the second structure lies 0.255 eV/atom higher.

---

Arrangement w

VASP calculation (PBE-GGA) on TmB4Ir after structural relaxation.

## Properties
space-group type	Immm (71)

Structure (POSCAR):
```
TmB4Ir
1.0
-0.994 -4.637 0.340
-4.533 0.273 1.407
2.788 1.013 -3.715
Ir B Tm
1 4 1
Direct
0.000 0.000 0.000 Ir
0.573 0.243 0.330 B
0.427 0.757 0.670 B
0.914 0.243 0.670 B
0.086 0.757 0.330 B
0.500 0.500 0.000 Tm
```

---

Arrangement x

VASP calculation (PBE-GGA) on TmB4Ir after structural relaxation.

## Properties
space-group type	P6/mmm (191)

Structure (POSCAR):
```
TmB4Ir
1.0
3.230 0.000 0.000
-1.615 2.798 0.000
0.000 0.000 6.626
B Ir Tm
4 1 1
Direct
0.333 0.667 0.777 B
0.667 0.333 0.777 B
0.333 0.667 0.223 B
0.667 0.333 0.223 B
0.000 0.000 0.000 Ir
0.000 0.000 0.500 Tm
```

---

In terms of stability, arrangement x leads; the second structure lies 0.018 eV/atom higher.